The following is a DFT calculation (PBE) of a relaxed structure of Dy8Mg2Pt.

Cell lengths 5.415, 7.032, 9.212 Å; angles 109.73, 107.09, 90.00 degrees
Atoms (fractional coordinates):
Dy 0.403 0.580 0.805
Dy 0.650 0.939 0.300
Dy 0.803 0.731 0.607
Dy 0.984 0.222 0.967
Dy 0.197 0.269 0.393
Dy 0.350 0.061 0.700
Dy 0.597 0.420 0.195
Dy 0.016 0.778 0.033
Mg 0.818 0.302 0.636
Mg 0.182 0.698 0.364
Pt 0.500 0.000 0.000

=====

The following is a DFT calculation (PBE) of a relaxed structure of Dy4MgPt.

Cell lengths 9.761, 9.761, 9.761 Å; angles 60.00, 60.00, 60.00 degrees
Atoms (fractional coordinates):
Dy 0.401 0.401 0.401
Dy 0.797 0.401 0.401
Dy 0.401 0.797 0.401
Dy 0.401 0.401 0.797
Dy 0.560 0.560 0.940
Dy 0.940 0.940 0.560
Dy 0.560 0.940 0.560
Dy 0.940 0.560 0.940
Dy 0.940 0.560 0.560
Dy 0.560 0.940 0.940
Dy 0.184 0.184 0.816
Dy 0.816 0.816 0.184
Dy 0.184 0.816 0.184
Dy 0.816 0.184 0.816
Dy 0.816 0.184 0.184
Dy 0.184 0.816 0.816
Mg 0.170 0.170 0.170
Mg 0.491 0.170 0.170
Mg 0.170 0.491 0.170
Mg 0.170 0.170 0.491
Pt 0.608 0.608 0.608
Pt 0.177 0.608 0.608
Pt 0.608 0.177 0.608
Pt 0.608 0.608 0.177

=====

The following is a DFT calculation (PBE) of a relaxed structure of DyMg3Pt2.

Cell lengths 3.997, 8.409, 8.410 Å; angles 66.13, 76.25, 76.25 degrees
Atoms (fractional coordinates):
Dy 0.871 0.129 0.130
Dy 0.129 0.871 0.870
Mg 0.332 0.473 0.864
Mg 0.000 0.345 0.656
Mg 0.668 0.137 0.527
Mg 0.332 0.863 0.473
Mg 0.000 0.655 0.344
Mg 0.668 0.527 0.136
Pt 0.500 0.151 0.849
Pt 0.500 0.849 0.151
Pt 0.796 0.704 0.704
Pt 0.204 0.296 0.296

=====

The following is a DFT calculation (PBE) of a relaxed structure of Dy4MgPt.

Cell lengths 8.081, 8.081, 8.081 Å; angles 110.50, 110.50, 107.43 degrees
Atoms (fractional coordinates):
Dy 0.276 0.959 0.683
Dy 0.725 0.424 0.699
Dy 0.709 0.526 0.183
Dy 0.174 0.975 0.199
Dy 0.343 0.526 0.817
Dy 0.776 0.975 0.801
Dy 0.725 0.026 0.301
Dy 0.276 0.593 0.317
Mg 0.245 0.245 0.000
Mg 0.995 0.495 0.500
Pt 0.753 0.753 0.000
Pt 0.503 0.003 0.500

=====

The following is a DFT calculation (PBE) of a relaxed structure of DyMgPt2.

Cell lengths 3.474, 4.665, 4.665 Å; angles 90.00, 90.00, 90.00 degrees
Atoms (fractional coordinates):
Mg 0.500 0.000 0.000
Pt 0.000 0.000 0.500
Pt 0.000 0.500 0.000
Dy 0.500 0.500 0.500

=====

The following is a DFT calculation (PBE) of a relaxed structure of Dy6Mg2Pt.

Cell lengths 6.443, 7.828, 10.506 Å; angles 90.00, 78.04, 90.00 degrees
Atoms (fractional coordinates):
Dy 0.859 0.965 0.253
Dy 0.845 0.660 0.509
Dy 0.867 0.711 0.968
Dy 0.633 0.211 0.532
Dy 0.655 0.160 0.991
Dy 0.641 0.465 0.247
Dy 0.141 0.035 0.747
Dy 0.155 0.340 0.491
Dy 0.133 0.289 0.032
Dy 0.367 0.789 0.468
Dy 0.345 0.840 0.009
Dy 0.359 0.535 0.753
Mg 0.846 0.411 0.766
Mg 0.654 0.911 0.734
Mg 0.346 0.089 0.266
Mg 0.154 0.589 0.234
Pt 0.500 0.500 0.000
Pt 0.000 0.000 0.500

=====

The following is a DFT calculation (PBE) of a relaxed structure of DyMgPt.

Cell lengths 3.491, 3.491, 5.874 Å; angles 107.29, 107.29, 90.00 degrees
Atoms (fractional coordinates):
Mg 0.310 0.310 0.621
Pt 0.945 0.945 0.891
Dy 0.594 0.594 0.188

=====

The following is a DFT calculation (PBE) of a relaxed structure of DyMg3Pt4.

Cell lengths 4.841, 6.036, 9.552 Å; angles 90.00, 90.00, 90.00 degrees
Atoms (fractional coordinates):
Mg 0.000 0.000 0.000
Mg 0.000 0.000 0.500
Mg 0.568 0.000 0.750
Mg 0.432 0.000 0.250
Mg 0.541 0.500 0.750
Mg 0.459 0.500 0.250
Pt 0.500 0.762 0.000
Pt 0.500 0.762 0.500
Pt 0.500 0.238 0.000
Pt 0.500 0.238 0.500
Pt 0.070 0.764 0.750
Pt 0.930 0.764 0.250
Pt 0.930 0.236 0.250
Pt 0.070 0.236 0.750
Dy 0.000 0.500 0.000
Dy 0.000 0.500 0.500

=====

no.,total DFT energy (no corrections) (eV/atom),DFT formation energy (meV/atom)
1,-4.38,-192.5
2,-4.86,-520.9
3,-4.35,-775.8
4,-4.39,-53.6
5,-5.58,-1011.7
6,-4.29,-192.4
7,-4.83,-754.0
8,-5.13,-940.9